No. 1
The following is a PBE-GGA calculation of CeDy5Pb5 after structural relaxation, from Alexandria.

The structure in extended XYZ format:
```
11
Lattice="-1.7384 -2.6483 5.4146 6.4372 -3.2082 -3.1365 2.7145 6.9255 4.2588" Properties=species:S:1:pos:R:3 pbc="T T T"
Ce 0.0000 0.0000 0.0000
Dy 1.8751 -0.4990 3.9919
Dy 3.2889 2.9293 6.1226
Dy 1.3573 3.4627 2.1294
Dy 4.1245 -1.8603 0.4143
Dy 5.5383 1.5680 2.5450
Pb 3.3316 -3.1552 3.1604
Pb 4.6498 0.2352 5.2419
Pb -0.8692 -1.3242 2.7073
Pb 2.7636 0.8338 1.2950
Pb 4.0818 4.2242 3.3765
```

Summary:
Energy of formation from the pure elements = -22.8 kJ per mole of atoms
Energy = -4.554 eV/atom
Crystal system = monoclinic
Total magnetic moment = 1.345 Bohr magnetons per cell
DOS(E_F) = 12.29 states/eV per cell

No. 2
The following is a PBE-GGA calculation of CeDy3Pb2 after structural relaxation, from Alexandria.

The structure in extended XYZ format:
```
6
Lattice="4.5579 0.0000 0.0000 0.0000 4.5579 0.0000 0.0000 0.0000 8.6451" Properties=species:S:1:pos:R:3 pbc="T T T"
Ce 2.2790 2.2790 0.0000
Dy 2.2790 0.0000 2.9867
Dy 0.0000 2.2790 5.6584
Dy 0.0000 0.0000 0.0000
Pb 2.2790 0.0000 6.1725
Pb 0.0000 2.2790 2.4726
```

Summary:
Relative energy among the computed polymorphs = 0.0 kJ per mole of atoms
Energy of formation from the pure elements = -35.8 kJ per mole of atoms
Energy = -4.897 eV/atom
Crystal system = tetragonal
Total magnetic moment = 0.664 Bohr magnetons per cell
DOS(E_F) = 7.76 states/eV per cell

No. 3
The following is a PBE-GGA calculation of CeDy3Pb3 after structural relaxation, from Alexandria.

The structure in extended XYZ format:
```
14
Lattice="5.5581 0.0000 0.0000 0.0000 9.3178 0.0000 0.0000 -4.6589 8.0694" Properties=species:S:1:pos:R:3 pbc="T T T"
Ce 1.3895 4.6589 2.6898
Ce 4.1686 0.0000 5.3796
Dy 1.3895 3.6265 6.1503
Dy 1.3895 2.1783 0.0655
Dy 1.3895 8.1719 1.8537
Dy 4.1686 1.0324 1.9192
Dy 4.1686 2.4806 8.0039
Dy 4.1686 -3.5130 6.2158
Pb 4.1686 3.2786 4.4555
Pb 4.1686 3.8199 0.6116
Pb 4.1686 6.8781 3.0023
Pb 1.3895 1.3803 3.6139
Pb 1.3895 0.8390 7.4578
Pb 1.3895 -2.2192 5.0671
```

Summary:
Energy of formation from the pure elements = -32.1 kJ per mole of atoms
Energy = -4.742 eV/atom
Crystal system = hexagonal
Total magnetic moment = 1.590 Bohr magnetons per cell
DOS(E_F) = 24.57 states/eV per cell

No. 4
The following is a PBE-GGA calculation of CeDy3Pb2 after structural relaxation, from Alexandria.

The structure in extended XYZ format:
```
12
Lattice="7.5127 0.0000 0.0000 0.0000 7.4348 0.0000 -3.7563 -3.7174 7.3745" Properties=species:S:1:pos:R:3 pbc="T T T"
Ce 0.0000 3.7174 0.0000
Ce 0.0000 0.0000 0.0000
Dy 3.7563 1.8587 0.0000
Dy 3.7563 5.5761 0.0000
Dy 3.7563 -1.8587 4.2941
Dy 0.0000 1.8587 3.0803
Dy 0.0000 5.5761 3.0803
Dy 3.7563 1.8587 4.2941
Pb 1.3424 0.0000 5.2496
Pb 5.0987 0.0000 2.1249
Pb -1.3424 3.7174 5.2496
Pb 2.4139 3.7174 2.1249
```

Summary:
Relative energy among the computed polymorphs = 26.0 kJ per mole of atoms
Energy of formation from the pure elements = -9.8 kJ per mole of atoms
Energy = -4.628 eV/atom
Crystal system = orthorhombic
Total magnetic moment = 4.794 Bohr magnetons per cell
DOS(E_F) = 21.33 states/eV per cell

No. 5
The following is a PBE-GGA calculation of CeDyPb3 after structural relaxation, from Alexandria.

The structure in extended XYZ format:
```
20
Lattice="-1.1705 -6.5571 -7.1482 5.5656 2.9174 -3.5875 5.6684 -5.6181 4.2253" Properties=species:S:1:pos:R:3 pbc="T T T"
Ce 6.8596 -5.2480 -1.7055
Ce 1.6032 -1.8771 0.1782
Ce 3.2040 -4.0098 -4.8049
Ce 8.4603 -7.3807 -6.6886
Dy 2.7828 1.4587 -1.7937
Dy 2.2490 -6.0876 -1.4615
Dy -0.5853 -3.2785 -3.5741
Dy 5.6170 -1.3504 0.3189
Pb 0.3149 -5.1336 -6.0098
Pb 6.0462 -5.8444 -4.9937
Pb 8.1528 -7.9324 -3.4233
Pb 7.6419 -2.0362 -2.0709
Pb 9.7486 -4.1242 -0.5005
Pb 4.0174 -3.4134 -1.5167
Pb 1.9107 -1.3254 -3.0871
Pb 2.4216 -7.2216 -4.4395
Pb 5.3525 -4.6066 1.1691
Pb 5.0980 -1.4766 -3.9776
Pb 4.7111 -4.6512 -7.6795
Pb 4.9656 -7.7812 -2.5328
```

Summary:
Energy of formation from the pure elements = -20.6 kJ per mole of atoms
Energy = -4.545 eV/atom
Crystal system = orthorhombic
Total magnetic moment = 3.840 Bohr magnetons per cell
DOS(E_F) = 33.44 states/eV per cell

No. 6
The following is a PBE-GGA calculation of Ce8DyPb6 after structural relaxation, from Alexandria.

The structure in extended XYZ format:
```
15
Lattice="-7.0810 -3.4859 -5.3186 -8.0503 -2.9466 4.1339 -7.5636 3.8943 -0.9978" Properties=species:S:1:pos:R:3 pbc="T T T"
Ce -8.1068 -1.6034 -2.2513
Ce -11.5073 -0.0892 -4.3380
Ce -9.6077 1.1964 0.5981
Ce -10.0949 -4.2707 -0.7915
Ce -12.6000 1.7326 -1.3909
Ce -13.0873 -3.7345 -2.7806
Ce -11.1876 -2.4490 2.1555
Ce -14.5881 -0.9348 0.0688
Dy 0.0000 0.0000 0.0000
Pb -9.3123 1.4443 -2.5828
Pb -10.2372 -3.1196 -4.1032
Pb -8.2943 -1.8054 0.9384
Pb -14.4007 -0.7327 -3.1208
Pb -12.4577 0.5814 1.9208
Pb -13.3826 -3.9825 0.4004
```

Summary:
Energy of formation from the pure elements = -19.9 kJ per mole of atoms
Energy = -5.161 eV/atom
Crystal system = trigonal
Total magnetic moment = 10.521 Bohr magnetons per cell
DOS(E_F) = 51.61 states/eV per cell

No. 7
The following is a PBE-GGA calculation of Ce2Dy5Pb4 after structural relaxation, from Alexandria.

The structure in extended XYZ format:
```
11
Lattice="-0.9173 1.2327 3.0489 0.1517 -4.7881 1.9815 18.1567 -0.6513 3.8143" Properties=species:S:1:pos:R:3 pbc="T T T"
Ce 8.0301 -1.3308 2.9540
Ce 9.3609 -2.8759 5.8907
Dy 3.3320 -4.3633 2.7666
Dy 14.0591 0.1566 6.0781
Dy 5.0999 -1.7228 2.2309
Dy -0.4586 0.6163 1.5244
Dy 12.2912 -2.4839 6.6138
Pb 5.9492 -3.3356 5.0501
Pb 1.7017 -2.1772 1.3922
Pb 11.4419 -0.8711 3.7945
Pb 15.6893 -2.0295 7.4524
```

Summary:
Energy of formation from the pure elements = -9.1 kJ per mole of atoms
Energy = -4.613 eV/atom
Crystal system = orthorhombic
Total magnetic moment = 3.150 Bohr magnetons per cell
DOS(E_F) = 16.76 states/eV per cell

No. 8
The following is a PBE-GGA calculation of Ce2DyPb9 after structural relaxation, from Alexandria.

The structure in extended XYZ format:
```
12
Lattice="4.9040 0.0000 0.0000 0.0000 4.9040 0.0000 0.0000 0.0000 14.6793" Properties=species:S:1:pos:R:3 pbc="T T T"
Ce 0.0000 0.0000 4.9188
Ce 0.0000 0.0000 9.7605
Dy 0.0000 0.0000 0.0000
Pb 2.4520 2.4520 0.0000
Pb 2.4520 2.4520 4.8800
Pb 2.4520 2.4520 9.7994
Pb 2.4520 0.0000 2.4177
Pb 2.4520 0.0000 7.3397
Pb 2.4520 0.0000 12.2616
Pb 0.0000 2.4520 2.4177
Pb 0.0000 2.4520 7.3397
Pb 0.0000 2.4520 12.2616
```

Summary:
Energy of formation from the pure elements = -31.4 kJ per mole of atoms
Energy = -4.479 eV/atom
Crystal system = tetragonal
Total magnetic moment = 2.037 Bohr magnetons per cell
DOS(E_F) = 15.28 states/eV per cell

No. 9
The following is a PBE-GGA calculation of CeDyPb after structural relaxation, from Alexandria.

The structure in extended XYZ format:
```
6
Lattice="-4.8398 -1.5665 -0.7082 -1.1798 -4.9784 0.4505 -3.5344 -1.0926 7.9466" Properties=species:S:1:pos:R:3 pbc="T T T"
Ce -6.6822 -6.0726 3.2254
Ce -2.8719 -1.5648 4.4635
Dy -7.3406 -5.6033 6.6868
Dy -2.2135 -2.0341 1.0021
Pb -4.4104 -4.0800 1.9171
Pb -5.1436 -3.5574 5.7717
```

Summary:
Relative energy among the computed polymorphs = 25.6 kJ per mole of atoms
Energy of formation from the pure elements = -14.8 kJ per mole of atoms
Energy = -4.902 eV/atom
Crystal system = trigonal
Total magnetic moment = 3.089 Bohr magnetons per cell
DOS(E_F) = 14.38 states/eV per cell

No. 10
The following is a PBE-GGA calculation of Ce3Dy2Pb6 after structural relaxation, from Alexandria.

The structure in extended XYZ format:
```
11
Lattice="5.9627 0.0000 0.0000 0.0000 5.9627 0.0000 -2.9814 -2.9814 11.0768" Properties=species:S:1:pos:R:3 pbc="T T T"
Ce 0.0000 0.0000 0.0000
Ce 2.9814 2.9814 7.8501
Ce 0.0000 0.0000 3.2267
Dy 0.0000 0.0000 9.4041
Dy 2.9814 2.9814 1.6727
Pb 0.0000 2.9814 1.6684
Pb 2.9814 0.0000 1.6684
Pb 2.9814 0.0000 9.4084
Pb 0.0000 2.9814 9.4084
Pb 2.9814 2.9814 4.6710
Pb 0.0000 0.0000 6.4057
```

Summary:
Energy of formation from the pure elements = -7.0 kJ per mole of atoms
Energy = -4.550 eV/atom
Crystal system = tetragonal
Total magnetic moment = 2.835 Bohr magnetons per cell
DOS(E_F) = 22.76 states/eV per cell

No. 11
The following is a PBE-GGA calculation of CeDyPb2 after structural relaxation, from Alexandria.

The structure in extended XYZ format:
```
4
Lattice="-0.1639 -3.5049 1.0143 1.8227 -2.5363 -1.8935 8.8212 -0.6325 5.8156" Properties=species:S:1:pos:R:3 pbc="T T T"
Pb 7.8029 -5.0148 3.6601
Pb 2.6771 -1.6589 1.2763
Ce 0.0000 0.0000 0.0000
Dy 5.2400 -3.3368 2.4682
```

Summary:
Energy of formation from the pure elements = -27.2 kJ per mole of atoms
Energy = -4.770 eV/atom
Crystal system = trigonal
Total magnetic moment = 0.980 Bohr magnetons per cell
DOS(E_F) = 7.38 states/eV per cell

No. 12
The following is a PBE-GGA calculation of Ce3DyPb4 after structural relaxation, from Alexandria.

The structure in extended XYZ format:
```
16
Lattice="-1.5451 -0.3184 6.2018 1.2934 -6.2671 0.0004 12.1441 2.5064 3.1542" Properties=species:S:1:pos:R:3 pbc="T T T"
Ce 0.0993 -4.8865 3.5007
Ce 3.9063 -4.0929 1.1880
Ce 2.4877 -1.1212 4.2887
Ce 6.2946 -0.3276 1.9767
Ce 8.5597 0.1320 5.8658
Ce 9.9784 -2.8397 2.7651
Dy 0.2249 -1.5929 0.3999
Dy 6.1688 -3.6212 5.0781
Pb 0.8717 -4.7268 0.3999
Pb -0.5474 -1.7535 3.5009
Pb 3.2666 -0.9579 1.1897
Pb 3.1274 -4.2562 4.2872
Pb 6.9410 -3.4606 1.9773
Pb 5.5221 -0.4873 5.0777
Pb 9.2133 -3.0001 5.8679
Pb 9.3248 0.2924 2.7632
```

Summary:
Energy of formation from the pure elements = -29.3 kJ per mole of atoms
Energy = -4.959 eV/atom
Crystal system = orthorhombic
Total magnetic moment = 0.887 Bohr magnetons per cell
DOS(E_F) = 23.71 states/eV per cell

No. 13
The following is a PBE-GGA calculation of CeDyPb after structural relaxation, from Alexandria.

The structure in extended XYZ format:
```
3
Lattice="3.2745 0.0000 0.0000 0.0000 3.2745 0.0000 -1.6373 -1.6373 8.9499" Properties=species:S:1:pos:R:3 pbc="T T T"
Pb 1.6373 1.6373 4.8842
Ce 0.0000 0.0000 2.3127
Dy 1.6373 1.6373 8.0179
```

Summary:
Relative energy among the computed polymorphs = 66.6 kJ per mole of atoms
Energy of formation from the pure elements = 26.2 kJ per mole of atoms
Energy = -4.477 eV/atom
Crystal system = tetragonal
Total magnetic moment = 2.017 Bohr magnetons per cell
DOS(E_F) = 7.19 states/eV per cell

No. 14
The following is a PBE-GGA calculation of CeDyPb after structural relaxation, from Alexandria.

The structure in extended XYZ format:
```
12
Lattice="-1.9606 -0.7611 2.8262 5.0980 0.4841 3.6669 -3.1595 16.4063 2.2265" Properties=species:S:1:pos:R:3 pbc="T T T"
Dy -0.4257 7.0635 2.7047
Dy -2.3267 15.2361 3.5869
Dy 0.4036 9.0658 6.0149
Dy 2.3046 0.8932 5.1327
Ce 1.0146 12.4084 7.3389
Ce 0.4513 4.0017 4.6842
Ce -1.0367 3.7209 1.3807
Ce -0.4733 12.1276 4.0354
Pb -0.3227 1.0842 3.3616
Pb -2.2337 9.2559 4.2365
Pb 0.3006 15.0451 5.3580
Pb 2.2116 6.8734 4.4831
```

Summary:
Relative energy among the computed polymorphs = 23.5 kJ per mole of atoms
Energy of formation from the pure elements = -17.0 kJ per mole of atoms
Energy = -4.924 eV/atom
Crystal system = orthorhombic
Total magnetic moment = 5.450 Bohr magnetons per cell
DOS(E_F) = 24.49 states/eV per cell

No. 15
The following is a PBE-GGA calculation of CePmDyPb after structural relaxation, from Alexandria.

The structure in extended XYZ format:
```
4
Lattice="5.4913 0.0000 0.0000 2.7457 4.7556 0.0000 2.7457 1.5852 4.4836" Properties=species:S:1:pos:R:3 pbc="T T T"
Pb 5.4913 3.1704 2.2418
Pm 2.7457 1.5852 1.1209
Ce 0.0000 0.0000 0.0000
Dy 8.2370 4.7556 3.3627
```

Summary:
Energy of formation from the pure elements = -7.0 kJ per mole of atoms
Energy = -4.821 eV/atom
Crystal system = cubic
Total magnetic moment = 0.591 Bohr magnetons per cell
DOS(E_F) = 8.40 states/eV per cell

No. 16
The following is a PBE-GGA calculation of Ce2PrDyPb4 after structural relaxation, from Alexandria.

The structure in extended XYZ format:
```
8
Lattice="-0.0748 -5.2108 -0.5246 4.1113 -2.4808 -2.0919 5.5896 -3.5867 8.6819" Properties=species:S:1:pos:R:3 pbc="T T T"
Ce 7.1780 -8.4487 4.4555
Ce 2.4481 -2.8296 1.6099
Pr 0.0000 0.0000 0.0000
Dy 4.8130 -5.6391 3.0327
Pb 6.3766 -6.0160 6.5525
Pb 5.6546 -8.0816 1.0259
Pb 3.9715 -3.1967 5.0394
Pb 3.2495 -5.2623 -0.4872
```

Summary:
Energy of formation from the pure elements = -38.0 kJ per mole of atoms
Energy = -4.904 eV/atom
Crystal system = trigonal
Total magnetic moment = 1.884 Bohr magnetons per cell
DOS(E_F) = 17.10 states/eV per cell

No. 17
The following is a PBE-GGA calculation of CeSmDyPb after structural relaxation, from Alexandria.

The structure in extended XYZ format:
```
4
Lattice="5.4807 0.0000 0.0000 2.7404 4.7464 0.0000 2.7404 1.5821 4.4750" Properties=species:S:1:pos:R:3 pbc="T T T"
Pb 2.7404 1.5821 1.1187
Ce 8.2211 4.7464 3.3562
Sm 5.4807 3.1643 2.2375
Dy 0.0000 0.0000 0.0000
```

Summary:
Energy of formation from the pure elements = -6.6 kJ per mole of atoms
Energy = -4.809 eV/atom
Crystal system = cubic
Total magnetic moment = 0.644 Bohr magnetons per cell
DOS(E_F) = 8.27 states/eV per cell

No. 18
The following is a PBE-GGA calculation of CeDySnPb after structural relaxation, from Alexandria.

The structure in extended XYZ format:
```
4
Lattice="5.4478 0.0000 0.0000 2.7239 4.7180 0.0000 2.7239 1.5727 4.4481" Properties=species:S:1:pos:R:3 pbc="T T T"
Pb 8.1717 4.7180 3.3361
Sn 2.7239 1.5727 1.1120
Ce 5.4478 3.1453 2.2241
Dy 0.0000 0.0000 0.0000
```

Summary:
Energy of formation from the pure elements = -43.5 kJ per mole of atoms
Energy = -5.012 eV/atom
Crystal system = cubic
Total magnetic moment = 1.745 Bohr magnetons per cell
DOS(E_F) = 8.12 states/eV per cell

No. 19
The following is a PBE-GGA calculation of CeDyTlPb after structural relaxation, from Alexandria.

The structure in extended XYZ format:
```
4
Lattice="-1.6131 -2.6282 -4.0143 -0.0620 -4.2233 2.7899 -3.3928 4.2537 1.7701" Properties=species:S:1:pos:R:3 pbc="T T T"
Ce -0.8376 -3.4257 -0.6122
Dy 0.0000 0.0000 0.0000
Tl -2.9218 -0.9001 -1.4282
Pb -2.1462 -1.6977 1.9739
```

Summary:
Relative energy among the computed polymorphs = 0.0 kJ per mole of atoms
Energy of formation from the pure elements = -34.2 kJ per mole of atoms
Energy = -4.508 eV/atom
Crystal system = tetragonal
Total magnetic moment = 1.697 Bohr magnetons per cell
DOS(E_F) = 8.38 states/eV per cell

No. 20
The following is a PBE-GGA calculation of CeDyTlPb after structural relaxation, from Alexandria.

The structure in extended XYZ format:
```
4
Lattice="5.4694 0.0000 0.0000 2.7347 4.7367 0.0000 2.7347 1.5789 4.4658" Properties=species:S:1:pos:R:3 pbc="T T T"
Pb 0.0000 0.0000 0.0000
Tl 5.4694 3.1578 2.2329
Ce 2.7347 1.5789 1.1164
Dy 8.2041 4.7367 3.3493
```

Summary:
Relative energy among the computed polymorphs = 2.7 kJ per mole of atoms
Energy of formation from the pure elements = -31.5 kJ per mole of atoms
Energy = -4.479 eV/atom
Crystal system = cubic
Total magnetic moment = 1.169 Bohr magnetons per cell
DOS(E_F) = 8.81 states/eV per cell